Entry 1:
Compound: CrPdAu2
Source: the Alexandria database
Functional: GGA-PBE
Structure: relaxed

```
CrPdAu2
1.0
1.469 0.848 8.990
-1.469 0.848 8.990
0.000 -1.697 8.990
Cr Pd Au
1 1 2
direct
0.000 0.000 0.000
0.833 0.833 0.833
0.414 0.414 0.414
0.586 0.586 0.586
```

Computed properties:
ΔE_f = 0.181 eV/atom
Total magnetic moment = 0.96 μB/atom
Crystal system = trigonal
Space-group type = R3m

---

Entry 2:
Compound: Tl3OsS
Source: the Alexandria database
Functional: GGA-PBE
Structure: relaxed

```
Tl3OsS
1.0
5.367 0.000 0.000
0.000 5.367 0.000
0.000 0.000 5.367
Tl Os S
3 1 1
direct
0.000 0.000 0.500
0.000 0.500 0.000
0.500 0.000 0.000
0.500 0.500 0.500
0.000 0.000 0.000
```

Computed properties:
Relative energy among the computed polymorphs = 775.5 meV/atom
Total magnetic moment = 0.46 μB/atom
Crystal system = cubic
Space-group type = Pm-3m

---

Entry 3:
Compound: Ce3TlGe
Source: the Alexandria database
Functional: GGA-PBE
Structure: relaxed

```
Ce3TlGe
1.0
-2.708 5.886 4.434
2.708 -5.886 4.434
2.708 5.886 -4.434
Ce Tl Ge
6 2 2
direct
0.194 0.158 0.036
0.283 0.533 0.750
0.378 0.842 0.536
0.622 0.158 0.464
0.717 0.467 0.250
0.806 0.842 0.964
0.101 0.851 0.250
0.899 0.149 0.750
0.000 0.500 0.500
0.500 0.500 0.000
```

Computed properties:
ΔE_f = -0.257 eV/atom
Total magnetic moment = 0.63 μB/atom
Crystal system = orthorhombic
Space-group type = Imma

---

Entry 4:
Compound: PdPtN2O
Source: the Alexandria database
Functional: GGA-PBE
Structure: relaxed

```
PdPtN2O
1.0
3.924 0.000 0.000
0.000 3.924 0.000
0.000 0.000 4.018
Pd Pt N O
1 1 2 1
direct
0.000 0.000 0.000
0.500 0.500 0.500
0.000 0.500 0.000
0.500 0.000 0.000
0.000 0.000 0.500
```

Computed properties:
Final energy = -0.1749 Ha/atom
Total magnetic moment = 0.52 μB/atom
Crystal system = tetragonal
Space-group type = P4/mmm

---

Entry 5:
Compound: HgSb3Pb3
Source: the Alexandria database
Functional: GGA-PBE
Structure: relaxed

```
HgSb3Pb3
1.0
8.609 0.000 0.000
0.000 8.609 0.000
0.000 0.000 8.609
Hg Sb Pb
2 6 6
direct
0.000 0.000 0.000
0.500 0.500 0.500
0.000 0.250 0.500
0.000 0.750 0.500
0.250 0.500 0.000
0.500 0.000 0.250
0.500 0.000 0.750
0.750 0.500 0.000
0.000 0.500 0.250
0.000 0.500 0.750
0.250 0.000 0.500
0.500 0.250 0.000
0.500 0.750 0.000
0.750 0.000 0.500
```

Computed properties:
Final energy = -0.1164 Ha/atom
Total magnetic moment = 0.00 μB/atom
Crystal system = cubic
Space-group type = Pm-3n

---

Entry 6:
Compound: LiPRhS2
Source: the Alexandria database
Functional: GGA-PBE
Structure: relaxed

```
LiPRhS2
1.0
4.321 0.000 0.000
0.000 4.321 0.000
0.000 0.000 4.150
Li P Rh S
1 1 1 2
direct
0.000 0.000 0.000
0.000 0.000 0.500
0.500 0.500 0.500
0.000 0.500 0.000
0.500 0.000 0.000
```

Computed properties:
Relative energy among the computed polymorphs = 604.5 meV/atom
Total magnetic moment = 0.00 μB/atom
Crystal system = tetragonal
Space-group type = P4/mmm

---

Entry 7:
Compound: Rb3Sn
Source: the Alexandria database
Functional: GGA-PBE
Structure: relaxed

```
Rb3Sn
1.0
-3.278 3.278 4.672
3.278 -3.278 4.672
3.278 3.278 -4.672
Rb Sn
3 1
direct
0.000 0.000 0.000
0.250 0.750 0.500
0.750 0.250 0.500
0.500 0.500 0.000
```

Computed properties:
ΔE_f = 0.003 eV/atom
Total magnetic moment = 0.26 μB/atom
Crystal system = tetragonal
Space-group type = I4/mmm

---

Entry 8:
Compound: AcCd3
Source: the Alexandria database
Functional: GGA-PBE
Structure: relaxed

```
AcCd3
1.0
2.539 -5.798 0.000
2.539 5.798 0.000
0.000 0.000 7.515
Ac Cd
2 6
direct
0.091 0.909 0.750
0.909 0.091 0.250
0.205 0.795 0.250
0.377 0.623 0.556
0.377 0.623 0.944
0.623 0.377 0.056
0.623 0.377 0.444
0.795 0.205 0.750
```

Computed properties:
ΔE_f = -0.305 eV/atom
Total magnetic moment = 0.00 μB/atom
Crystal system = orthorhombic
Space-group type = Cmcm